Entry 1:
Computed, not measured: a relaxed Sb2SCl3 crystal at the PBE level of DFT.

Output
spin magnetization = 0.00 μB per atom
volume = 366.5 Å³/cell
N(E_F) = 0.34 states/eV per atom
formation energy from raw total energies = -0.45 eV per atom

abc: 4.043 9.129 11.122
angles: 67.06 79.53 77.21
Atoms (fractional coordinates):
Cl1 0.922 0.883 0.273
Cl2 0.791 0.813 0.606
S1 0.436 0.469 0.660
Cl3 0.078 0.117 0.727
Cl4 0.329 0.322 0.020
Sb1 0.871 0.423 0.835
Sb2 0.129 0.577 0.165
Cl5 0.671 0.678 0.980
Sb3 0.392 0.763 0.452
Sb4 0.608 0.237 0.548
S2 0.564 0.531 0.340
Cl6 0.209 0.187 0.394


Entry 2:
Computed, not measured: a relaxed Ta2NbN crystal at the PBE level of DFT.

Output
spin magnetization = 0.00 μB per atom
volume = 140.7 Å³/cell
N(E_F) = 0.22 states/eV per atom
formation energy from raw total energies = 0.15 eV per atom

abc: 6.154 6.154 5.722
angles: 57.47 57.47 90.00
Atoms (fractional coordinates):
Ta1 0.875 0.768 0.750
Ta2 0.232 0.625 0.250
Ta3 0.518 0.125 0.250
N1 0.250 0.750 0.500
Ta4 0.375 0.482 0.750
Nb1 0.750 0.250 0.500
Nb2 0.000 0.000 0.000
N2 0.500 0.500 0.000


Entry 3:
Computed, not measured: a relaxed ZnAsO crystal at the PBE level of DFT.

Output
spin magnetization = 0.00 μB per atom
volume = 212.9 Å³/cell
N(E_F) = 0.04 states/eV per atom
formation energy from raw total energies = -0.81 eV per atom

abc: 3.467 5.735 10.801
angles: 97.47 90.00 90.00
Atoms (fractional coordinates):
O1 0.006 0.199 0.610
Zn1 0.007 0.144 0.394
O2 0.994 0.801 0.390
As1 0.249 0.019 0.080
As2 0.751 0.981 0.920
Zn2 0.993 0.856 0.606
O3 0.494 0.699 0.610
Zn3 0.507 0.356 0.606
As3 0.749 0.481 0.920
Zn4 0.493 0.644 0.394
As4 0.251 0.519 0.080
O4 0.506 0.301 0.390